NbPdWSe2: relaxed, GGA-PBE.

Lattice parameters (Å, degrees): 4.8183 4.9329 4.8183 90.00 90.00 90.00
Fractional positions:
W1 0.0000 0.0000 0.0000
Pd1 0.0000 0.5000 0.0000
Se1 0.0000 0.0000 0.5000
Se2 0.5000 0.0000 0.0000
Nb1 0.5000 0.5000 0.5000

Output
Volume   114.5 Å³/cell
Calculated total energy   -6.169 eV/atom
Formation energy from raw total energies   83.8 kJ/mol of atoms